Compound: PrZnCuHg
Source: Alexandria via LeMat-Bulk
Functional: PBE
Structure: optimized geometry

The structure in POSCAR format:
```
PrZnCuHg
1.0
-4.047 1.403 2.318
-2.114 -2.975 3.226
0.157 1.054 4.752
Hg Cu Pr Zn
1 1 1 1
Direct
0.500 0.500 0.500
0.250 0.250 0.250
0.000 0.000 0.000
0.750 0.750 0.750
```

Results
final energy	-11.41	eV/cell
space-group type	F-43m, No. 216
N(E_F)	2.1	states/eV/cell
DFT formation energy	-1.0	eV per formula unit